Cu7Ag3 | PBE | optimized geometry

It has space group Cm (No. 8), with a = 21.834 Å, b = 2.731 Å, c = 4.627 Å, α = 90.00°, β = 95.07° and γ = 90.00°. The inequivalent atoms are Cu at (0.000, 0.000, 0.000), Cu at (0.003, 0.500, 0.518), Cu at (0.091, 0.500, 0.196), Cu at (0.094, 0.000, 0.717), Cu at (0.193, 0.500, 0.907), Cu at (0.294, 0.000, 0.108), Cu at (0.404, 0.000, 0.811), Ag at (0.190, 0.000, 0.401), Ag at (0.299, 0.500, 0.621) and Ag at (0.401, 0.500, 0.303).

Its total DFT energy (no corrections) is -3.359 eV/atom.